The following is a PBE calculation of an optimized crystal structure of ErThIn3, from Alexandria.

```
data_ErThIn3
_cell_length_a 6.5086
_cell_length_b 6.5082
_cell_length_c 8.3903
_cell_angle_alpha 90.00
_cell_angle_beta 67.18
_cell_angle_gamma 60.00
_symmetry_space_group_name_H-M 'P 1'
_symmetry_Int_Tables_number 1
_symmetry_space_group_name_Hall 'P 1'
loop_
_atom_site_label
_atom_site_fract_x
_atom_site_fract_y
_atom_site_fract_z
In1 0.9878 0.7071 0.0816
In2 0.4386 0.9816 0.3975
In3 0.9467 0.9814 0.3977
In4 0.4797 0.2150 0.0815
In5 0.4386 0.4894 0.3976
In6 0.9878 0.2148 0.0816
Th1 0.8780 0.5159 0.4922
Th2 0.5484 0.6806 0.9869
Er1 0.0465 0.9316 0.7399
Er2 0.3798 0.2649 0.7392
```

Values from the calculation:
Calculated volume   275.2 Å³ per cell
Total magnetization   0.00 μB/f.u.
Total DFT energy (no corrections)   -4.33 eV per atom
ρ   9.0 Mg/m³
Energy relative to the elements   -0.2889 eV/atom